Here is a relaxed structure of Zr2InCu from Alexandria via LeMat-Bulk. Energies are from GGA-PBE.

POSCAR file:
```
Zr2InCu
1.0
4.272 0.000 0.000
0.000 1.680 5.734
0.000 -1.680 5.734
Zr In Cu
2 1 1
Direct
0.000 0.000 0.000 Zr
0.500 0.344 0.344 Zr
0.000 0.731 0.731 In
0.500 0.590 0.590 Cu
```

As for the total energy: -6.12 eV per atom. The space-group type is Amm2, No. 38. The density of states at the Fermi level is 5.36 states/eV/cell. For the formation energy, the calculation gives -141 meV/atom.

Here is a relaxed structure of Ca2La4Ho from Alexandria via LeMat-Bulk. Energies are from GGA-PBE.

POSCAR file:
```
Ca2La4Ho
1.0
-1.815 2.995 12.070
1.815 -2.995 12.070
1.815 2.995 -12.070
Ca La Ho
2 4 1
Direct
0.221 0.221 0.000 Ca
0.779 0.779 0.000 Ca
0.078 0.578 0.500 La
0.370 0.870 0.500 La
0.630 0.130 0.500 La
0.922 0.422 0.500 La
0.500 0.500 0.000 Ho
```

As for the total energy: -3.94 eV per atom. The space-group type is Immm, No. 71. The density of states at the Fermi level is 10.23 states/eV/cell. For the formation energy, the calculation gives 104 meV/atom.

Here is a relaxed structure of ZrTcRh2 from Alexandria via LeMat-Bulk. Energies are from GGA-PBE.

POSCAR file:
```
ZrTcRh2
1.0
-1.994 1.994 4.004
1.994 -1.994 4.004
1.994 1.994 -4.004
Zr Tc Rh
1 1 2
Direct
0.000 0.000 0.000 Zr
0.250 0.750 0.500 Tc
0.500 0.500 0.000 Rh
0.750 0.250 0.500 Rh
```

As for the total energy: -8.69 eV per atom. The space-group type is I-4m2, No. 119. The density of states at the Fermi level is 4.92 states/eV/cell. For the formation energy, the calculation gives -286 meV/atom.

Here is a relaxed structure of Ho3Ga4Au7 from Alexandria via LeMat-Bulk. Energies are from GGA-PBE.

POSCAR file:
```
Ho3Ga4Au7
1.0
8.176 -2.182 0.000
8.176 2.182 0.000
-5.182 0.000 7.771
Ho Ga Au
3 4 7
Direct
0.000 0.000 0.000 Ho
0.320 0.320 0.329 Ho
0.680 0.680 0.671 Ho
0.122 0.122 0.837 Ga
0.323 0.323 0.698 Ga
0.677 0.677 0.302 Ga
0.878 0.878 0.163 Ga
0.000 0.000 0.500 Au
0.141 0.141 0.403 Au
0.311 0.311 0.957 Au
0.499 0.499 0.737 Au
0.501 0.501 0.263 Au
0.689 0.689 0.043 Au
0.859 0.859 0.597 Au
```

As for the total energy: -4.10 eV per atom. The space-group type is C2/m, No. 12. The density of states at the Fermi level is 6.53 states/eV/cell. For the formation energy, the calculation gives -612 meV/atom.